[1]
{
  "formula": "YTmZn2",
  "functional": "GGA-PBEsol",
  "state": "optimized geometry",
  "lattice_angstrom": [[0.000, 3.490, 3.490], [3.490, 0.000, 3.490], [3.490, 3.490, 0.000]],
  "species": ["Y", "Tm", "Zn", "Zn"],
  "fractional_positions": [[0.000, 0.000, 0.000], [0.500, 0.500, 0.500], [0.250, 0.250, 0.250], [0.750, 0.750, 0.750]]
}

---

[2]
{
  "formula": "Tm6Zn23",
  "functional": "GGA-PBEsol",
  "state": "optimized geometry",
  "lattice_angstrom": [[0.000, 6.179, 6.179], [6.179, 0.000, 6.179], [6.179, 6.179, 0.000]],
  "species": ["Tm", "Tm", "Tm", "Tm", "Tm", "Tm", "Zn", "Zn", "Zn", "Zn", "Zn", "Zn", "Zn", "Zn", "Zn", "Zn", "Zn", "Zn", "Zn", "Zn", "Zn", "Zn", "Zn", "Zn", "Zn", "Zn", "Zn", "Zn", "Zn"],
  "fractional_positions": [[0.205, 0.205, 0.795], [0.205, 0.795, 0.205], [0.205, 0.795, 0.795], [0.795, 0.205, 0.205], [0.795, 0.205, 0.795], [0.795, 0.795, 0.205], [0.000, 0.000, 0.500], [0.000, 0.500, 0.000], [0.000, 0.500, 0.500], [0.133, 0.622, 0.622], [0.171, 0.171, 0.171], [0.171, 0.171, 0.487], [0.171, 0.487, 0.171], [0.378, 0.378, 0.378], [0.378, 0.378, 0.867], [0.378, 0.867, 0.378], [0.487, 0.171, 0.171], [0.500, 0.000, 0.000], [0.500, 0.000, 0.500], [0.500, 0.500, 0.000], [0.500, 0.500, 0.500], [0.513, 0.829, 0.829], [0.622, 0.133, 0.622], [0.622, 0.622, 0.133], [0.622, 0.622, 0.622], [0.829, 0.513, 0.829], [0.829, 0.829, 0.513], [0.829, 0.829, 0.829], [0.867, 0.378, 0.378]]
}

---

[3]
{
  "formula": "TmZn3",
  "functional": "GGA-PBEsol",
  "state": "optimized geometry",
  "lattice_angstrom": [[6.533, 0.000, 0.000], [0.000, 4.251, 0.000], [0.000, 0.000, 9.800]],
  "species": ["Tm", "Tm", "Tm", "Tm", "Zn", "Zn", "Zn", "Zn", "Zn", "Zn", "Zn", "Zn", "Zn", "Zn", "Zn", "Zn"],
  "fractional_positions": [[0.222, 0.250, 0.163], [0.278, 0.750, 0.663], [0.722, 0.250, 0.337], [0.778, 0.750, 0.837], [0.038, 0.750, 0.397], [0.079, 0.250, 0.852], [0.217, 0.750, 0.957], [0.283, 0.250, 0.457], [0.421, 0.750, 0.352], [0.462, 0.250, 0.897], [0.538, 0.750, 0.103], [0.579, 0.250, 0.648], [0.717, 0.750, 0.543], [0.783, 0.250, 0.043], [0.921, 0.750, 0.148], [0.962, 0.250, 0.603]]
}

---

[4]
{
  "formula": "Tm2Zn17",
  "functional": "GGA-PBEsol",
  "state": "optimized geometry",
  "lattice_angstrom": [[4.381, 2.529, 4.280], [-4.381, 2.529, 4.280], [0.000, -5.059, 4.280]],
  "species": ["Tm", "Tm", "Zn", "Zn", "Zn", "Zn", "Zn", "Zn", "Zn", "Zn", "Zn", "Zn", "Zn", "Zn", "Zn", "Zn", "Zn", "Zn", "Zn"],
  "fractional_positions": [[0.165, 0.165, 0.165], [0.835, 0.835, 0.835], [0.000, 0.500, 0.500], [0.147, 0.147, 0.661], [0.147, 0.661, 0.147], [0.202, 0.500, 0.798], [0.202, 0.798, 0.500], [0.339, 0.853, 0.853], [0.400, 0.400, 0.400], [0.500, 0.000, 0.500], [0.500, 0.202, 0.798], [0.500, 0.500, 0.000], [0.500, 0.798, 0.202], [0.600, 0.600, 0.600], [0.661, 0.147, 0.147], [0.798, 0.202, 0.500], [0.798, 0.500, 0.202], [0.853, 0.339, 0.853], [0.853, 0.853, 0.339]]
}

---

[5]
{
  "formula": "TmZr",
  "functional": "GGA-PBEsol",
  "state": "optimized geometry",
  "lattice_angstrom": [[3.327, 0.000, 0.000], [-1.664, 2.882, 0.000], [0.000, 0.000, 5.219]],
  "species": ["Tm", "Zr"],
  "fractional_positions": [[0.000, 0.000, 0.000], [0.333, 0.667, 0.500]]
}

---

[6]
{
  "formula": "U",
  "functional": "GGA-PBEsol",
  "state": "optimized geometry",
  "lattice_angstrom": [[1.371, -2.873, 0.000], [1.371, 2.873, 0.000], [0.000, 0.000, 4.834]],
  "species": ["U", "U"],
  "fractional_positions": [[0.098, 0.902, 0.750], [0.902, 0.098, 0.250]],
  "relative_energy_ev_per_fu": 0.00
}

---

[7]
{
  "formula": "V",
  "functional": "GGA-PBEsol",
  "state": "optimized geometry",
  "lattice_angstrom": [[-1.479, 1.479, 1.479], [1.479, -1.479, 1.479], [1.479, 1.479, -1.479]],
  "species": ["V"],
  "fractional_positions": [[0.000, 0.000, 0.000]]
}

---

[8]
{
  "formula": "VW",
  "functional": "GGA-PBEsol",
  "state": "optimized geometry",
  "lattice_angstrom": [[1.534, -2.202, 0.000], [1.534, 2.202, 0.000], [0.000, 0.000, 4.247]],
  "species": ["V", "W"],
  "fractional_positions": [[0.000, 0.000, 0.000], [0.500, 0.500, 0.500]]
}

---

[9]
{
  "formula": "VW",
  "functional": "GGA-PBEsol",
  "state": "optimized geometry",
  "lattice_angstrom": [[-1.531, 2.144, 4.340], [1.531, -2.144, 4.340], [1.531, 2.144, -4.340]],
  "species": ["V", "V", "W", "W"],
  "fractional_positions": [[0.375, 0.125, 0.250], [0.625, 0.875, 0.750], [0.126, 0.376, 0.750], [0.874, 0.624, 0.250]]
}

---

[10]
{
  "formula": "ZrVW",
  "functional": "GGA-PBEsol",
  "state": "optimized geometry",
  "lattice_angstrom": [[-2.626, 2.629, 3.693], [2.626, -2.629, 3.693], [2.626, 2.629, -3.693]],
  "species": ["Zr", "Zr", "V", "V", "W", "W"],
  "fractional_positions": [[0.375, 0.125, 0.250], [0.625, 0.875, 0.750], [0.000, 0.500, 0.500], [0.500, 0.500, 0.000], [0.000, 0.000, 0.500], [0.000, 0.500, 0.000]]
}

---

[11]
{
  "formula": "ZrV2W",
  "functional": "GGA-PBEsol",
  "state": "optimized geometry",
  "lattice_angstrom": [[0.000, 3.141, 3.141], [3.141, 0.000, 3.141], [3.141, 3.141, 0.000]],
  "species": ["Zr", "V", "V", "W"],
  "fractional_positions": [[0.000, 0.000, 0.000], [0.250, 0.250, 0.250], [0.750, 0.750, 0.750], [0.500, 0.500, 0.500]]
}

---

[12]
{
  "formula": "VZn3",
  "functional": "GGA-PBEsol",
  "state": "optimized geometry",
  "lattice_angstrom": [[3.760, 0.000, 0.000], [0.000, 3.760, 0.000], [0.000, 0.000, 3.760]],
  "species": ["V", "Zn", "Zn", "Zn"],
  "fractional_positions": [[0.000, 0.000, 0.000], [0.000, 0.500, 0.500], [0.500, 0.000, 0.500], [0.500, 0.500, 0.000]]
}

---

Number 1: energy relative to the elements -0.355 eV per atom. Number 2: energy relative to the elements -0.321 eV per atom. Number 3: energy relative to the elements -0.369 eV per atom. Number 4: energy relative to the elements -0.240 eV per atom. Number 5: energy relative to the elements 0.071 eV per atom. Number 6: energy relative to the elements 0.000 eV per atom. Number 7: energy relative to the elements 0.000 eV per atom. Number 8: energy relative to the elements -0.065 eV per atom. Number 9: energy relative to the elements -0.082 eV per atom. Number 10: energy relative to the elements -0.078 eV per atom. Number 11: energy relative to the elements 0.120 eV per atom. Number 12: energy relative to the elements -0.068 eV per atom.